(1)
A plane-wave DFT calculation with PBE was carried out for an optimized crystal structure of TbPr8Tm2.

Cell: 17.053 6.848 6.718 Å, 90.00 100.01 90.00°
Space group C2/m (No. 12)
One atom of each set of equivalent atoms:
Tb1 0.000 0.000 0.000
Pr1 0.087 0.260 0.407
Pr2 0.097 0.500 0.918
Pr3 0.245 0.000 0.324
Tm1 0.195 0.000 0.810

- DFT formation energy: 0.17 eV/atom
- Total magnetic moment: 0.00 μB/cell
- ρ: 6.981 g cm⁻³
- E_tot: -4.54 eV per atom
- Relative energy among the computed polymorphs: 60 meV/atom
- DOS at the Fermi energy: 17.7 states/eV/f.u.

---

(2)
A plane-wave DFT calculation with PBE was carried out for an optimized crystal structure of ReAg3Br2F6.

Cell: 14.040 7.269 4.910 Å, 90.00 95.43 90.00°
Space group C2/m (No. 12)
One atom of each set of equivalent atoms:
Re1 0.000 0.000 0.000
Ag1 0.000 0.500 0.500
Ag2 0.250 0.250 0.000
Br1 0.184 0.500 0.659
F1 0.062 0.191 0.224
F2 0.110 0.000 0.792

- Total magnetic moment: 4.00 μB/cell
- ρ: 5.216 g cm⁻³
- E_tot: -4.32 eV per atom
- DOS at the Fermi energy: 11.0 states/eV/f.u.